(i)
LaSnTeI2 | PBE | relaxed

Cell: 5.8891 5.8891 6.0072 Å, 90.00 90.00 90.00°
Atoms (fractional coordinates):
La1 0.0000 0.0000 0.0000
Sn1 0.5000 0.5000 0.5000
Te1 0.5000 0.5000 0.0000
I1 0.0000 0.5000 0.5000
I2 0.5000 0.0000 0.5000

Properties
The density of states at the Fermi level comes out at 8.54 states/eV per cell.



(ii)
LaSnTeI2 | PBE | relaxed

Cell: 6.1959 6.1959 6.2549 Å, 90.00 90.00 90.00°
Atoms (fractional coordinates):
La1 0.0000 0.0000 0.0000
Sn1 0.5000 0.5000 0.5000
Te1 0.0000 0.0000 0.5000
I1 0.0000 0.5000 0.0000
I2 0.5000 0.0000 0.0000

Properties
The density of states at the Fermi level comes out at 3.11 states/eV per cell.



Which one sits at the top of the stability order? (ii) does.



(i)
SrLa3I | PBE | relaxed

Cell: 6.0835 6.0835 6.0835 Å, 90.00 90.00 90.00°
Atoms (fractional coordinates):
Sr1 0.0000 0.0000 0.0000
La1 0.0000 0.5000 0.5000
La2 0.5000 0.0000 0.5000
La3 0.5000 0.5000 0.0000
I1 0.5000 0.5000 0.5000

Properties
The density of states at the Fermi level comes out at 7.78 states/eV per cell.



(ii)
SrLa3I | PBE | relaxed

Cell: 6.0580 6.0580 6.0580 Å, 90.00 90.00 90.00°
Atoms (fractional coordinates):
Sr1 0.0000 0.0000 0.0000
La1 0.0000 0.0000 0.5000
La2 0.0000 0.5000 0.0000
La3 0.5000 0.0000 0.0000
I1 0.5000 0.5000 0.5000

Properties
The density of states at the Fermi level comes out at 13.50 states/eV per cell.



Which one sits at the top of the stability order? (i) does.



(i)
La2TaI | PBE | relaxed

Cell: 6.8714 6.8714 6.8714 Å, 104.52 104.52 119.90°
Atoms (fractional coordinates):
La1 0.0931 0.6250 0.9681
La2 0.3750 0.3431 0.4681
La3 0.6569 0.1250 0.0319
La4 0.8750 0.9069 0.5319
Ta1 0.0000 0.0000 0.0000
Ta2 0.7500 0.2500 0.5000
I1 0.2500 0.7500 0.5000
I2 0.5000 0.5000 0.0000

Properties
The density of states at the Fermi level comes out at 10.30 states/eV per cell.



(ii)
La2TaI | PBE | relaxed

Cell: 5.4780 5.4780 5.4780 Å, 60.00 60.00 60.00°
Atoms (fractional coordinates):
La1 0.2500 0.2500 0.2500
La2 0.7500 0.7500 0.7500
Ta1 0.0000 0.0000 0.0000
I1 0.5000 0.5000 0.5000

Properties
The density of states at the Fermi level comes out at 7.02 states/eV per cell.



Which one sits at the top of the stability order? (ii) does.



(i)
LaTa3I | PBE | relaxed

Cell: 5.1005 5.1005 5.1005 Å, 90.00 90.00 90.00°
Atoms (fractional coordinates):
La1 0.0000 0.0000 0.0000
Ta1 0.0000 0.5000 0.5000
Ta2 0.5000 0.0000 0.5000
Ta3 0.5000 0.5000 0.0000
I1 0.5000 0.5000 0.5000

Properties
The density of states at the Fermi level comes out at 6.86 states/eV per cell.



(ii)
LaTa3I | PBE | relaxed

Cell: 5.0916 5.0916 5.0916 Å, 90.00 90.00 90.00°
Atoms (fractional coordinates):
La1 0.0000 0.0000 0.0000
Ta1 0.0000 0.0000 0.5000
Ta2 0.0000 0.5000 0.0000
Ta3 0.5000 0.0000 0.0000
I1 0.5000 0.5000 0.5000

Properties
The density of states at the Fermi level comes out at 5.55 states/eV per cell.



Which one sits at the top of the stability order? (i) does.



(i)
LaTb2I | PBE | relaxed

Cell: 10.9446 10.9446 10.9446 Å, 19.91 19.91 19.91°
Atoms (fractional coordinates):
La1 0.0000 0.0000 0.0000
Tb1 0.5764 0.5764 0.5764
Tb2 0.7573 0.7573 0.7573
I1 0.1669 0.1669 0.1669

Properties
The density of states at the Fermi level comes out at 6.05 states/eV per cell.



(ii)
LaTb2I | PBE | relaxed

Cell: 12.0608 12.0608 12.0608 Å, 17.25 17.25 17.25°
Atoms (fractional coordinates):
La1 0.0000 0.0000 0.0000
Tb1 0.0966 0.0966 0.0966
Tb2 0.9034 0.9034 0.9034
I1 0.5000 0.5000 0.5000

Properties
The density of states at the Fermi level comes out at 7.08 states/eV per cell.



Which one sits at the top of the stability order? (i) does.



(i)
LaTc3I | PBE | relaxed

Cell: 5.0206 5.0206 5.0206 Å, 90.00 90.00 90.00°
Atoms (fractional coordinates):
La1 0.0000 0.0000 0.0000
Tc1 0.0000 0.0000 0.5000
Tc2 0.0000 0.5000 0.0000
Tc3 0.5000 0.0000 0.0000
I1 0.5000 0.5000 0.5000

Properties
The density of states at the Fermi level comes out at 4.69 states/eV per cell.



(ii)
LaTc3I | PBE | relaxed

Cell: 4.8809 4.8809 4.8809 Å, 90.00 90.00 90.00°
Atoms (fractional coordinates):
La1 0.0000 0.0000 0.0000
Tc1 0.0000 0.5000 0.5000
Tc2 0.5000 0.0000 0.5000
Tc3 0.5000 0.5000 0.0000
I1 0.5000 0.5000 0.5000

Properties
The density of states at the Fermi level comes out at 7.56 states/eV per cell.



Which one sits at the top of the stability order? (ii) does.



(i)
La2TcI | PBE | relaxed

Cell: 7.2473 7.2473 7.2473 Å, 115.43 115.43 98.11°
Atoms (fractional coordinates):
La1 0.0346 0.6250 0.9096
La2 0.3750 0.2846 0.4096
La3 0.7154 0.1250 0.0904
La4 0.8750 0.9654 0.5904
Tc1 0.0000 0.0000 0.0000
Tc2 0.7500 0.2500 0.5000
I1 0.2500 0.7500 0.5000
I2 0.5000 0.5000 0.0000

Properties
The density of states at the Fermi level comes out at 1.00 states/eV per cell.



(ii)
La2TcI | PBE | relaxed

Cell: 5.3672 5.3672 5.3672 Å, 60.00 60.00 60.00°
Atoms (fractional coordinates):
La1 0.2500 0.2500 0.2500
La2 0.7500 0.7500 0.7500
Tc1 0.0000 0.0000 0.0000
I1 0.5000 0.5000 0.5000

Properties
The density of states at the Fermi level comes out at 3.01 states/eV per cell.



Which one sits at the top of the stability order? (i) does.



(i)
LaTcTe2I | PBE | relaxed

Cell: 5.3654 5.3654 5.3324 Å, 90.00 90.00 90.00°
Atoms (fractional coordinates):
La1 0.0000 0.0000 0.0000
Tc1 0.5000 0.5000 0.5000
Te1 0.0000 0.5000 0.5000
Te2 0.5000 0.0000 0.5000
I1 0.5000 0.5000 0.0000

Properties
The density of states at the Fermi level comes out at 4.22 states/eV per cell.



(ii)
LaTcTe2I | PBE | relaxed

Cell: 6.1753 6.1753 6.1081 Å, 90.00 90.00 90.00°
Atoms (fractional coordinates):
La1 0.0000 0.0000 0.0000
Tc1 0.5000 0.5000 0.5000
Te1 0.0000 0.5000 0.0000
Te2 0.5000 0.0000 0.0000
I1 0.0000 0.0000 0.5000

Properties
The density of states at the Fermi level comes out at 3.72 states/eV per cell.



Which one sits at the top of the stability order? (i) does.



(i)
LaTeI2 | PBE | relaxed

Cell: 5.7206 5.7206 5.7206 Å, 60.00 60.00 60.00°
Atoms (fractional coordinates):
La1 0.0000 0.0000 0.0000
Te1 0.5000 0.5000 0.5000
I1 0.2500 0.2500 0.2500
I2 0.7500 0.7500 0.7500

Properties
The density of states at the Fermi level comes out at 10.36 states/eV per cell.



(ii)
LaTeI2 | PBE | relaxed

Cell: 8.6805 8.6805 8.6805 Å, 97.57 97.57 137.43°
Atoms (fractional coordinates):
La1 0.0000 0.0000 0.0000
La2 0.7500 0.2500 0.5000
Te1 0.2500 0.7500 0.5000
Te2 0.5000 0.5000 0.0000
I1 0.3750 0.2316 0.3566
I2 0.7684 0.1250 0.1434
I3 0.8750 0.0184 0.6434
I4 0.9816 0.6250 0.8566

Properties
The density of states at the Fermi level comes out at 4.55 states/eV per cell.



Which one sits at the top of the stability order? (ii) does.



(i)
La2TeI2 | PBE | relaxed

Cell: 8.5784 8.5784 4.6462 Å, 90.00 90.00 90.00°
Atoms (fractional coordinates):
La1 0.1561 0.3439 0.0000
La2 0.3439 0.8439 0.0000
La3 0.6561 0.1561 0.0000
La4 0.8439 0.6561 0.0000
Te1 0.0000 0.0000 0.0000
Te2 0.5000 0.5000 0.0000
I1 0.1428 0.6428 0.5000
I2 0.3572 0.1428 0.5000
I3 0.6428 0.8572 0.5000
I4 0.8572 0.3572 0.5000

Properties
The density of states at the Fermi level comes out at 6.71 states/eV per cell.



(ii)
La2TeI2 | PBE | relaxed

Cell: 11.7986 11.7986 11.7986 Å, 22.22 22.22 22.22°
Atoms (fractional coordinates):
La1 0.1154 0.1154 0.1154
La2 0.8846 0.8846 0.8846
Te1 0.5000 0.5000 0.5000
I1 0.2767 0.2767 0.2767
I2 0.7233 0.7233 0.7233

Properties
The density of states at the Fermi level comes out at 1.97 states/eV per cell.



Which one sits at the top of the stability order? (ii) does.



(i)
La5Te4I | PBE | relaxed

Cell: 16.5367 16.5367 16.5367 Å, 164.09 164.09 22.58°
Atoms (fractional coordinates):
La1 0.0000 0.0000 0.0000
La2 0.1985 0.1985 0.0000
La3 0.3982 0.3982 0.0000
La4 0.6018 0.6018 0.0000
La5 0.8015 0.8015 0.0000
Te1 0.0995 0.0995 0.0000
Te2 0.2989 0.2989 0.0000
Te3 0.7011 0.7011 0.0000
Te4 0.9005 0.9005 0.0000
I1 0.5000 0.5000 0.0000

Properties
The density of states at the Fermi level comes out at 8.67 states/eV per cell.



(ii)
La5Te4I | PBE | relaxed

Cell: 18.8261 18.8261 18.8261 Å, 14.00 14.00 14.00°
Atoms (fractional coordinates):
La1 0.0000 0.0000 0.0000
La2 0.2013 0.2013 0.2013
La3 0.4002 0.4002 0.4002
La4 0.5998 0.5998 0.5998
La5 0.7987 0.7987 0.7987
Te1 0.0999 0.0999 0.0999
Te2 0.3000 0.3000 0.3000
Te3 0.7000 0.7000 0.7000
Te4 0.9001 0.9001 0.9001
I1 0.5000 0.5000 0.5000

Properties
The density of states at the Fermi level comes out at 7.46 states/eV per cell.



Which one sits at the top of the stability order? (ii) does.



(i)
La2TeI | PBE | relaxed

Cell: 3.9433 3.9433 7.8895 Å, 90.00 90.00 90.00°
Atoms (fractional coordinates):
La1 0.0000 0.0000 0.2390
La2 0.0000 0.0000 0.7610
Te1 0.5000 0.5000 0.0000
I1 0.5000 0.5000 0.5000

Properties
The density of states at the Fermi level comes out at 2.96 states/eV per cell.



(ii)
La2TeI | PBE | relaxed

Cell: 7.8612 7.8612 7.8612 Å, 34.09 34.09 34.09°
Atoms (fractional coordinates):
La1 0.2457 0.2457 0.2457
La2 0.7543 0.7543 0.7543
Te1 0.5000 0.5000 0.5000
I1 0.0000 0.0000 0.0000

Properties
The density of states at the Fermi level comes out at 2.93 states/eV per cell.



Which one sits at the top of the stability order? (ii) does.



(i)
La2TeI3 | PBE | relaxed

Cell: 11.6818 4.4617 12.6452 Å, 90.00 114.71 90.00°
Atoms (fractional coordinates):
La1 0.0288 0.2500 0.3349
La2 0.1990 0.2500 0.1159
La3 0.8010 0.7500 0.8841
La4 0.9712 0.7500 0.6651
Te1 0.0185 0.7500 0.1525
Te2 0.9815 0.2500 0.8475
I1 0.1579 0.2500 0.6225
I2 0.3208 0.2500 0.3925
I3 0.3552 0.7500 0.0510
I4 0.6448 0.2500 0.9490
I5 0.6792 0.7500 0.6075
I6 0.8421 0.7500 0.3775

Properties
The density of states at the Fermi level comes out at 6.09 states/eV per cell.



(ii)
La2TeI3 | PBE | relaxed

Cell: 9.9421 9.9421 13.9865 Å, 123.63 123.63 26.59°
Atoms (fractional coordinates):
La1 0.1045 0.1045 0.4471
La2 0.3480 0.3480 0.1359
La3 0.6520 0.6520 0.8641
La4 0.8955 0.8955 0.5529
Te1 0.0938 0.0938 0.6699
Te2 0.9062 0.9062 0.3301
I1 0.1486 0.1486 0.0299
I2 0.2577 0.2577 0.3884
I3 0.4490 0.4490 0.7527
I4 0.5510 0.5510 0.2473
I5 0.7423 0.7423 0.6116
I6 0.8514 0.8514 0.9701

Properties
The density of states at the Fermi level comes out at 4.79 states/eV per cell.



Which one sits at the top of the stability order? (i) does.